[1]
LiEuSnGe | PBE | optimized geometry

abc: 5.127 5.127 5.127
angles: 60.00 60.00 60.00
Element x y z (fractional)
Eu  0.500  0.500  0.500
Ge  0.750  0.750  0.750
Sn  0.250  0.250  0.250
Li  0.000  0.000  0.000

Values from the calculation:
- V (Å³ per cell) = 95
- ΔH_f (0 K) (meV/atom) = -364
- mass density (kg/m³) = 6104
- DFT total energy (eV/atom) = -5.57

=====

[2]
Li8AlIn6 | PBE | optimized geometry

abc: 8.121 8.121 7.493
angles: 57.19 57.19 60.00
Element x y z (fractional)
Li  0.553  0.210  0.358
Li  0.790  0.120  0.642
Li  0.120  0.447  0.642
Li  0.666  0.666  0.003
Li  0.334  0.334  0.997
Li  0.880  0.553  0.358
Li  0.210  0.880  0.358
Li  0.447  0.790  0.642
Al  0.000  0.000  0.000
In  0.385  0.048  0.853
In  0.952  0.286  0.147
In  0.286  0.615  0.147
In  0.714  0.385  0.853
In  0.048  0.714  0.853
In  0.615  0.952  0.147

Values from the calculation:
- V (Å³ per cell) = 334
- ΔH_f (0 K) (meV/atom) = -167
- mass density (kg/m³) = 3837
- DFT total energy (eV/atom) = -2.53

=====

[3]
K2PaBr5 | PBE | optimized geometry

abc: 8.282 8.280 8.391
angles: 119.57 119.60 90.00
Element x y z (fractional)
K  0.176  0.676  0.351
K  0.676  0.176  0.351
Pa  0.989  0.989  0.978
Br  0.807  0.282  0.089
Br  0.282  0.281  0.088
Br  0.807  0.807  0.089
Br  0.282  0.806  0.088
Br  0.759  0.760  0.520

Values from the calculation:
- V (Å³ per cell) = 412
- E above lowest polymorph (meV per atom) = 73.4
- raw formation energy (eV/atom) = -1.4295
- mass density (kg/m³) = 2857
- DFT total energy (eV/atom) = -3.94

=====

[4]
TmHfCuHg | PBE | optimized geometry

abc: 4.907 4.907 4.907
angles: 60.00 60.00 60.00
Element x y z (fractional)
Tm  0.000  0.000  0.000
Hf  0.500  0.500  0.500
Hg  0.750  0.750  0.750
Cu  0.250  0.250  0.250

Values from the calculation:
- V (Å³ per cell) = 84
- ΔH_f (0 K) (meV/atom) = -105
- mass density (kg/m³) = 12158
- DFT total energy (eV/atom) = -4.81

=====

[5]
NdY6Th2 | PBE | optimized geometry

abc: 3.599 3.599 26.523
angles: 90.00 90.00 120.00
Element x y z (fractional)
Nd  0.333  0.667  0.000
Y  0.667  0.333  0.888
Y  0.333  0.667  0.437
Y  0.333  0.667  0.781
Y  0.333  0.667  0.219
Y  0.333  0.667  0.563
Y  0.667  0.333  0.112
Th  0.667  0.333  0.331
Th  0.667  0.333  0.669

Values from the calculation:
- V (Å³ per cell) = 297
- E above lowest polymorph (meV per atom) = 0.0
- ΔH_f (0 K) (meV/atom) = 75
- mass density (kg/m³) = 6373
- DFT total energy (eV/atom) = -6.41

=====

[6]
SmPH | PBE | optimized geometry

abc: 4.233 5.852 8.063
angles: 90.00 90.00 90.00
Element x y z (fractional)
P  0.750  0.747  0.121
P  0.250  0.247  0.379
P  0.250  0.253  0.879
P  0.750  0.753  0.621
Sm  0.750  0.249  0.120
Sm  0.250  0.749  0.380
Sm  0.250  0.751  0.880
Sm  0.750  0.251  0.620
H  0.750  0.889  0.289
H  0.250  0.389  0.211
H  0.250  0.111  0.711
H  0.750  0.611  0.789

Values from the calculation:
- V (Å³ per cell) = 200
- E above lowest polymorph (meV per atom) = 0.0
- mass density (kg/m³) = 6063
- DFT total energy (eV/atom) = -5.31

=====

Number 1: magnetic moment 6.87 Bohr magnetons per cell. Number 2: magnetic moment 0.00 Bohr magnetons per cell. Number 3: magnetic moment 2.00 Bohr magnetons per cell. Number 4: magnetic moment 0.75 Bohr magnetons per cell. Number 5: magnetic moment 0.00 Bohr magnetons per cell. Number 6: magnetic moment 0.00 Bohr magnetons per cell.